# 1
Compound: In2Cl
Source: Alexandria
Functional: PBE-GGA
Structure: relaxed

SG: P-3m1
ΔE_f (raw) (eV per atom): -0.40
Energy above the most stable polymorph in this dataset (meV per atom): 18

Lattice parameters (Å, degrees): 3.526 3.526 7.453 90.00 90.00 120.00
Fractional positions:
Cl 0.000 0.000 0.000
In 0.333 0.667 0.307
In 0.667 0.333 0.693

***

# 2
Compound: InCl2
Source: Alexandria
Functional: PBE-GGA
Structure: relaxed

SG: Cmcm
ΔE_f (raw) (eV per atom): -0.86

Lattice parameters (Å, degrees): 9.799 9.799 5.227 90.00 90.00 155.76
Fractional positions:
Cl 0.918 0.082 0.750
Cl 0.696 0.304 0.750
In 0.333 0.667 0.750
Cl 0.304 0.696 0.250
In 0.667 0.333 0.250
Cl 0.082 0.918 0.250

***

# 3
Compound: In2Cl
Source: Alexandria
Functional: PBE-GGA
Structure: relaxed

SG: C2/m
ΔE_f (raw) (eV per atom): -0.41
Energy above the most stable polymorph in this dataset (meV per atom): 7

Lattice parameters (Å, degrees): 6.013 6.013 8.461 73.53 73.53 36.18
Fractional positions:
Cl 0.044 0.044 0.782
In 0.787 0.787 0.834
Cl 0.956 0.956 0.218
In 0.213 0.213 0.166
In 0.633 0.633 0.509
In 0.367 0.367 0.491

***

# 4
Compound: InCl2
Source: Alexandria
Functional: PBE-GGA
Structure: relaxed

SG: C2/m
ΔE_f (raw) (eV per atom): -0.98

Lattice parameters (Å, degrees): 8.916 8.916 7.888 43.77 43.77 25.78
Fractional positions:
In 0.118 0.118 0.852
Cl 0.337 0.337 0.483
Cl 0.663 0.663 0.517
Cl 0.366 0.366 0.962
In 0.882 0.882 0.148
Cl 0.634 0.634 0.038

***

# 5
Compound: In4Cl
Source: Alexandria
Functional: PBE-GGA
Structure: relaxed

SG: Pm-3m
ΔE_f (raw) (eV per atom): 0.14
Energy above the most stable polymorph in this dataset (meV per atom): 312

Lattice parameters (Å, degrees): 5.667 5.667 5.667 90.00 90.00 90.00
Fractional positions:
In 0.500 0.500 0.000
In 0.000 0.500 0.500
Cl 0.500 0.500 0.500
In 0.500 0.000 0.500
In 0.000 0.000 0.000

***

# 6
Compound: InCl
Source: Alexandria
Functional: PBE-GGA
Structure: relaxed

SG: P2_12_12_1
ΔE_f (raw) (eV per atom): -0.78

Lattice parameters (Å, degrees): 6.467 7.925 9.708 90.00 90.00 90.00
Fractional positions:
Cl 0.004 0.132 0.302
Cl 0.996 0.632 0.198
Cl 0.478 0.895 0.167
Cl 0.504 0.368 0.698
In 0.271 0.162 0.901
In 0.229 0.838 0.401
In 0.858 0.910 0.995
In 0.358 0.590 0.005
Cl 0.022 0.105 0.667
Cl 0.496 0.868 0.802
In 0.642 0.090 0.495
In 0.771 0.338 0.099
Cl 0.522 0.395 0.333
In 0.729 0.662 0.599
In 0.142 0.410 0.505
Cl 0.978 0.605 0.833

***

# 7
Compound: InCl7
Source: Alexandria
Functional: PBE-GGA
Structure: relaxed

SG: Fm-3m
ΔE_f (raw) (eV per atom): 0.39

Lattice parameters (Å, degrees): 6.288 6.288 6.288 60.00 60.00 60.00
Each line ends with the local moment (μB).
Fractional positions:
Cl 0.000 0.500 0.500  0.29
Cl 0.000 0.000 0.500  0.29
Cl 0.500 0.000 0.500  0.29
Cl 0.500 0.500 0.500  -0.17
Cl 0.500 0.500 0.000  0.29
Cl 0.500 0.000 0.000  0.29
Cl 0.000 0.500 0.000  0.29
In 0.000 0.000 0.000  0.05

***

# 8
Compound: In2Cl
Source: Alexandria
Functional: PBE-GGA
Structure: relaxed

SG: Fd-3m
ΔE_f (raw) (eV per atom): -0.24
Energy above the most stable polymorph in this dataset (meV per atom): 181

Lattice parameters (Å, degrees): 6.308 6.308 6.308 60.00 60.00 60.00
Fractional positions:
In 0.625 0.125 0.625
In 0.625 0.625 0.625
In 0.625 0.625 0.125
Cl 0.250 0.250 0.250
In 0.125 0.625 0.625
Cl 0.000 0.000 0.000

***

# 9
Compound: InCl
Source: Alexandria
Functional: PBE-GGA
Structure: relaxed

SG: P-6m2
ΔE_f (raw) (eV per atom): -0.77

Lattice parameters (Å, degrees): 4.308 4.308 4.074 90.00 90.00 120.00
Fractional positions:
Cl 0.000 0.000 0.000
In 0.667 0.333 0.500

***

# 10
Compound: InCl
Source: Alexandria
Functional: PBE-GGA
Structure: relaxed

SG: P2_13
ΔE_f (raw) (eV per atom): -0.82

Lattice parameters (Å, degrees): 12.500 12.500 12.500 90.00 90.00 90.00
Fractional positions:
Cl 0.011 0.301 0.444
In 0.028 0.753 0.778
In 0.026 0.752 0.280
Cl 0.794 0.706 0.294
Cl 0.551 0.999 0.800
In 0.752 0.280 0.026
In 0.248 0.780 0.474
In 0.253 0.722 0.972
Cl 0.699 0.944 0.489
Cl 0.999 0.800 0.551
In 0.247 0.278 0.472
In 0.747 0.222 0.528
In 0.470 0.970 0.530
In 0.753 0.778 0.028
In 0.748 0.720 0.526
Cl 0.702 0.202 0.298
Cl 0.444 0.011 0.301
Cl 0.051 0.501 0.200
In 0.280 0.026 0.752
Cl 0.989 0.801 0.056
Cl 0.199 0.556 0.511
In 0.220 0.974 0.252
Cl 0.294 0.794 0.706
In 0.780 0.474 0.248
In 0.222 0.528 0.747
Cl 0.556 0.511 0.199
Cl 0.449 0.499 0.700
Cl 0.489 0.699 0.944
In 0.528 0.747 0.222
In 0.778 0.028 0.753
Cl 0.944 0.489 0.699
Cl 0.949 0.001 0.300
Cl 0.298 0.702 0.202
In 0.722 0.972 0.253
Cl 0.501 0.200 0.051
In 0.974 0.252 0.220
In 0.030 0.030 0.030
Cl 0.801 0.056 0.989
In 0.252 0.220 0.974
Cl 0.499 0.700 0.449
Cl 0.001 0.300 0.949
In 0.720 0.526 0.748
In 0.474 0.248 0.780
In 0.468 0.468 0.468
Cl 0.700 0.449 0.499
Cl 0.206 0.206 0.206
In 0.968 0.032 0.532
In 0.972 0.253 0.722
In 0.526 0.748 0.720
In 0.472 0.247 0.278
In 0.278 0.472 0.247
Cl 0.706 0.294 0.794
Cl 0.301 0.444 0.011
Cl 0.200 0.051 0.501
Cl 0.798 0.798 0.798
In 0.532 0.968 0.032
In 0.970 0.530 0.470
Cl 0.511 0.199 0.556
Cl 0.800 0.551 0.999
Cl 0.202 0.298 0.702
In 0.530 0.470 0.970
In 0.032 0.532 0.968
Cl 0.056 0.989 0.801
Cl 0.300 0.949 0.001

***

# 11
Compound: InCl
Source: Alexandria
Functional: PBE-GGA
Structure: relaxed

SG: R-3m
ΔE_f (raw) (eV per atom): -0.75

Lattice parameters (Å, degrees): 8.788 8.788 8.788 28.49 28.49 28.49
Fractional positions:
Cl 0.775 0.775 0.775
Cl 0.975 0.975 0.975
In 0.496 0.496 0.496
In 0.254 0.254 0.254

***

# 12
Compound: InCl
Source: Alexandria
Functional: PBE-GGA
Structure: relaxed

SG: P6_3mc
ΔE_f (raw) (eV per atom): -0.76

Lattice parameters (Å, degrees): 5.423 5.423 6.403 90.00 90.00 120.00
Fractional positions:
In 0.333 0.667 0.436
Cl 0.667 0.333 0.435
In 0.667 0.333 0.936
Cl 0.333 0.667 0.935

***

# 13
Compound: InCl
Source: Alexandria
Functional: PBE-GGA
Structure: relaxed

SG: R-3m
ΔE_f (raw) (eV per atom): -0.79

Lattice parameters (Å, degrees): 6.578 6.578 6.578 46.07 46.07 46.07
Fractional positions:
In 0.268 0.268 0.268
Cl 0.108 0.108 0.108
Cl 0.892 0.892 0.892
In 0.732 0.732 0.732

***

# 14
Compound: In5Cl
Source: Alexandria
Functional: PBE-GGA
Structure: relaxed

SG: Amm2
ΔE_f (raw) (eV per atom): -0.17
Energy above the most stable polymorph in this dataset (meV per atom): 0

Lattice parameters (Å, degrees): 9.027 9.027 5.346 90.00 90.00 157.88
Fractional positions:
In 0.471 0.529 0.500
In 0.314 0.686 0.000
In 0.634 0.366 0.000
In 0.803 0.197 0.500
Cl 0.972 0.028 0.000
In 0.138 0.862 0.500

***

# 15
Compound: InCl5
Source: Alexandria
Functional: PBE-GGA
Structure: relaxed

SG: P4/mmm
ΔE_f (raw) (eV per atom): 0.11
Energy above the most stable polymorph in this dataset (meV per atom): 778

Lattice parameters (Å, degrees): 3.513 3.513 12.390 90.00 90.00 90.00
Each line ends with the local moment (μB).
Fractional positions:
Cl 0.000 0.000 0.874  0.00
Cl 0.000 0.000 0.500  0.93
Cl 0.000 0.000 0.126  0.00
Cl 0.500 0.500 0.360  0.68
In 0.500 0.500 0.000  0.00
Cl 0.500 0.500 0.640  0.68

***

# 16
Compound: In3Cl
Source: Alexandria
Functional: PBE-GGA
Structure: relaxed

SG: Pmmm
ΔE_f (raw) (eV per atom): -0.24
Energy above the most stable polymorph in this dataset (meV per atom): 45

Lattice parameters (Å, degrees): 3.449 5.130 6.211 90.00 90.00 90.00
Fractional positions:
In 0.500 0.500 0.245
In 0.000 0.000 0.500
Cl 0.000 0.000 0.000
In 0.500 0.500 0.755

***

# 17
Compound: InCl5
Source: Alexandria
Functional: PBE-GGA
Structure: relaxed

SG: P6/mmm
ΔE_f (raw) (eV per atom): 0.31
Energy above the most stable polymorph in this dataset (meV per atom): 985

Lattice parameters (Å, degrees): 6.264 6.264 4.848 90.00 90.00 120.00
Each line ends with the local moment (μB).
Fractional positions:
Cl 0.333 0.667 0.000  0.46
Cl 0.667 0.333 0.000  0.46
Cl 0.500 0.500 0.500  0.60
Cl 0.000 0.500 0.500  0.60
In 0.000 0.000 0.000  0.01
Cl 0.500 0.000 0.500  0.60

***

# 18
Compound: In3Cl2
Source: Alexandria
Functional: PBE-GGA
Structure: relaxed

SG: P-3m1
ΔE_f (raw) (eV per atom): -0.42
Energy above the most stable polymorph in this dataset (meV per atom): 108

Lattice parameters (Å, degrees): 5.434 5.434 6.272 90.00 90.00 120.00
Fractional positions:
In 0.333 0.667 0.333
Cl 0.333 0.667 0.865
In 0.667 0.333 0.667
In 0.000 0.000 0.000
Cl 0.667 0.333 0.135

***

# 19
Compound: InCl3
Source: Alexandria
Functional: PBE-GGA
Structure: relaxed

SG: Pmmn
ΔE_f (raw) (eV per atom): -1.03

Lattice parameters (Å, degrees): 3.720 12.402 15.443 90.00 90.00 90.00
Fractional positions:
Cl 0.271 0.750 0.417
Cl 0.770 0.891 0.917
In 0.270 0.750 0.250
Cl 0.271 0.750 0.083
Cl 0.230 0.109 0.750
In 0.730 0.250 0.417
Cl 0.770 0.609 0.583
Cl 0.230 0.109 0.083
Cl 0.770 0.609 0.250
Cl 0.770 0.891 0.583
Cl 0.230 0.109 0.417
In 0.730 0.250 0.083
Cl 0.729 0.250 0.250
Cl 0.770 0.609 0.917
In 0.730 0.250 0.750
Cl 0.271 0.750 0.750
Cl 0.770 0.891 0.250
Cl 0.230 0.391 0.750
In 0.270 0.750 0.583
Cl 0.729 0.250 0.917
In 0.270 0.750 0.917
Cl 0.729 0.250 0.583
Cl 0.230 0.391 0.417
Cl 0.230 0.391 0.083

***

# 20
Compound: In4Cl
Source: Alexandria
Functional: PBE-GGA
Structure: relaxed

SG: I4/m
ΔE_f (raw) (eV per atom): -0.17
Energy above the most stable polymorph in this dataset (meV per atom): 0

Lattice parameters (Å, degrees): 5.818 5.818 5.818 100.87 100.87 128.52
Fractional positions:
Cl 0.000 0.000 0.000
In 0.186 0.627 0.812
In 0.373 0.186 0.559
In 0.814 0.373 0.188
In 0.627 0.814 0.441

***

# 21
Compound: InCl
Source: Alexandria
Functional: PBE-GGA
Structure: relaxed

SG: Fd-3m
ΔE_f (raw) (eV per atom): -0.53

Lattice parameters (Å, degrees): 5.325 5.325 5.325 60.00 60.00 60.00
Fractional positions:
In 0.500 0.500 0.500
Cl 0.000 0.000 0.000
In 0.750 0.750 0.750
Cl 0.250 0.250 0.250

***

# 22
Compound: In5Cl
Source: Alexandria
Functional: PBE-GGA
Structure: relaxed

SG: Cm
ΔE_f (raw) (eV per atom): -0.17
Energy above the most stable polymorph in this dataset (meV per atom): 4

Lattice parameters (Å, degrees): 6.160 6.160 8.691 70.20 70.20 32.39
Fractional positions:
Cl 0.039 0.039 0.982
In 0.324 0.324 0.354
In 0.783 0.783 0.053
In 0.047 0.047 0.383
In 0.349 0.349 0.716
In 0.624 0.624 0.678

***

# 23
Compound: InCl3
Source: Alexandria
Functional: PBE-GGA
Structure: relaxed

SG: Fm-3m
ΔE_f (raw) (eV per atom): -0.23

Lattice parameters (Å, degrees): 4.928 4.928 4.928 60.00 60.00 60.00
Fractional positions:
Cl 0.000 0.000 0.000
Cl 0.750 0.750 0.750
In 0.500 0.500 0.500
Cl 0.250 0.250 0.250

***

# 24
Compound: InCl2
Source: Alexandria
Functional: PBE-GGA
Structure: relaxed

SG: I4_1/amd
ΔE_f (raw) (eV per atom): -0.64

Lattice parameters (Å, degrees): 14.040 14.040 14.040 165.45 165.45 20.63
Fractional positions:
In 0.750 0.250 0.500
Cl 0.443 0.443 0.000
In 0.000 0.000 0.000
Cl 0.557 0.557 0.000
Cl 0.307 0.807 0.500
Cl 0.193 0.693 0.500